(1)
Density functional theory data (PBE) for crystalline Sc5P3 at its relaxed geometry.

Cell lengths 10.583, 7.877, 7.070 Å; angles 90.00, 90.00, 90.00 degrees
Space group Pnma (No. 62)
Unique sites:
1 Sc 0.003 0.250 0.033 (multiplicity 4)
2 Sc 0.074 0.046 0.691 (multiplicity 8)
3 Sc 0.204 0.750 0.354 (multiplicity 4)
4 Sc 0.219 0.250 0.338 (multiplicity 4)
5 P 0.013 0.750 0.572 (multiplicity 4)
6 P 0.172 0.509 0.064 (multiplicity 8)

Values from the calculation:
E ... -7.19 eV per atom
Total magnetization ... 0.00 μB per cell
Formation energy ... -1.204 eV/atom

=====

(2)
Density functional theory data (PBE) for crystalline Er8Cu2Au at its relaxed geometry.

Cell lengths 17.395, 5.025, 6.735 Å; angles 90.00, 106.76, 90.00 degrees
Space group C2/m (No. 12)
Unique sites:
1 Er 0.033 0.000 0.279 (multiplicity 4)
2 Er 0.093 0.500 0.960 (multiplicity 4)
3 Er 0.172 0.500 0.483 (multiplicity 4)
4 Er 0.201 0.000 0.833 (multiplicity 4)
5 Cu 0.183 0.000 0.224 (multiplicity 4)
6 Au 0.000 0.500 0.500 (multiplicity 2)

Values from the calculation:
E ... -4.60 eV per atom
Total magnetization ... 0.00 μB per cell
Formation energy ... -0.238 eV/atom

=====

(3)
Density functional theory data (PBE) for crystalline K2Hg2Pb at its relaxed geometry.

Cell lengths 8.100, 8.100, 5.475 Å; angles 90.00, 90.00, 90.00 degrees
Space group P4/mbm (No. 127)
Unique sites:
1 K 0.177 0.323 0.000 (multiplicity 4)
2 Hg 0.134 0.634 0.500 (multiplicity 4)
3 Pb 0.000 0.000 0.500 (multiplicity 2)

Values from the calculation:
E ... -1.48 eV per atom
Total magnetization ... 0.00 μB per cell
Formation energy ... -0.182 eV/atom

=====

(4)
Density functional theory data (PBE) for crystalline Ac2Sn4GeRh3 at its relaxed geometry.

Cell lengths 4.774, 4.774, 10.415 Å; angles 90.00, 90.00, 90.00 degrees
Space group P-4m2 (No. 115)
Unique sites:
1 Ac 0.000 0.500 0.242 (multiplicity 2)
2 Sn 0.000 0.000 0.500 (multiplicity 1)
3 Sn 0.000 0.500 0.869 (multiplicity 2)
4 Sn 0.500 0.500 0.500 (multiplicity 1)
5 Ge 0.500 0.500 0.000 (multiplicity 1)
6 Rh 0.000 0.000 0.000 (multiplicity 1)
7 Rh 0.000 0.500 0.620 (multiplicity 2)

Values from the calculation:
E ... -5.75 eV per atom
Total magnetization ... 0.00 μB per cell
Formation energy ... -0.657 eV/atom

=====

(5)
Density functional theory data (PBE) for crystalline Th8Co3TcSe4 at its relaxed geometry.

Cell lengths 8.0718, 8.0718, 22.0081 Å; angles 90.00, 90.00, 120.00 degrees
Space group R-3m (No. 166, hexagonal axes)
Unique sites:
1 Th 0.0000 0.0000 0.2354 (multiplicity 6)
2 Th 0.0027 0.5013 0.7629 (multiplicity 18)
3 Co 0.0000 0.5000 0.5000 (multiplicity 9)
4 Tc 0.0000 0.0000 0.5000 (multiplicity 3)
5 Se 0.0000 0.0000 0.0000 (multiplicity 3)
6 Se 0.0000 0.5000 0.0000 (multiplicity 9)

Values from the calculation:
ΔE_f (raw) ... -0.92 eV per atom
E ... -7.48 eV per atom
Total magnetization ... 0.00 μB per cell

=====

(6)
Density functional theory data (PBE) for crystalline Ba2SiSb at its relaxed geometry.

Cell lengths 4.892, 4.892, 11.557 Å; angles 90.00, 90.00, 90.00 degrees
Space group I-4m2 (No. 119)
Unique sites:
1 Ba 0.000 0.000 0.000 (multiplicity 2)
2 Ba 0.000 0.500 0.250 (multiplicity 2)
3 Si 0.000 0.000 0.500 (multiplicity 2)
4 Sb 0.000 0.500 0.750 (multiplicity 2)

Values from the calculation:
ΔE_f (raw) ... -0.31 eV per atom
E ... -3.65 eV per atom
Total magnetization ... 0.00 μB per cell

=====

(7)
Density functional theory data (PBE) for crystalline Tb3Dy6ErSc2 at its relaxed geometry.

Cell lengths 6.070, 10.504, 11.560 Å; angles 90.00, 100.05, 90.00 degrees
Space group C2/m (No. 12)
Unique sites:
1 Tb 0.000 0.000 0.000 (multiplicity 2)
2 Tb 0.000 0.333 0.000 (multiplicity 4)
3 Dy 0.246 0.000 0.744 (multiplicity 4)
4 Dy 0.249 0.332 0.744 (multiplicity 8)
5 Er 0.000 0.500 0.500 (multiplicity 2)
6 Sc 0.000 0.167 0.500 (multiplicity 4)

Values from the calculation:
E ... -4.86 eV per atom
Total magnetization ... 0.00 μB per cell
Formation energy ... 0.036 eV/atom

=====

(8)
Density functional theory data (PBE) for crystalline Li3Ac2PmSn4 at its relaxed geometry.

Cell lengths 4.741, 4.741, 12.282 Å; angles 90.00, 90.00, 90.00 degrees
Space group P-4m2 (No. 115)
Unique sites:
1 Li 0.000 0.000 0.000 (multiplicity 1)
2 Li 0.000 0.500 0.621 (multiplicity 2)
3 Ac 0.000 0.500 0.276 (multiplicity 2)
4 Pm 0.500 0.500 0.000 (multiplicity 1)
5 Sn 0.000 0.000 0.500 (multiplicity 1)
6 Sn 0.000 0.500 0.841 (multiplicity 2)
7 Sn 0.500 0.500 0.500 (multiplicity 1)

Values from the calculation:
E ... -4.07 eV per atom
Total magnetization ... 0.00 μB per cell
Formation energy ... -0.596 eV/atom

=====

(9)
Density functional theory data (PBE) for crystalline BHW2 at its relaxed geometry.

Cell lengths 5.520, 5.520, 5.520 Å; angles 90.00, 90.00, 90.00 degrees
Space group Fm-3m (No. 225)
Unique sites:
1 B 0.000 0.000 0.000 (multiplicity 4)
2 H 0.000 0.000 0.500 (multiplicity 4)
3 W 0.250 0.250 0.250 (multiplicity 8)

Values from the calculation:
E ... -8.42 eV per atom
Total magnetization ... 0.00 μB per cell

=====

(10)
Density functional theory data (PBE) for crystalline Rb2PbAuF6 at its relaxed geometry.

Cell lengths 6.441, 6.441, 10.040 Å; angles 90.00, 90.00, 90.00 degrees
Space group I4/mmm (No. 139)
Unique sites:
1 Rb 0.000 0.500 0.250 (multiplicity 4)
2 Pb 0.000 0.000 0.000 (multiplicity 2)
3 Au 0.000 0.000 0.500 (multiplicity 2)
4 F 0.000 0.000 0.233 (multiplicity 4)
5 F 0.241 0.241 0.500 (multiplicity 8)

Values from the calculation:
ΔE_f (raw) ... -2.06 eV per atom
E ... -4.07 eV per atom
Total magnetization ... 0.00 μB per cell

=====

(11)
Density functional theory data (PBE) for crystalline SrScAg at its relaxed geometry.

Cell lengths 7.255, 7.255, 7.255 Å; angles 90.00, 90.00, 90.00 degrees
Space group F-43m (No. 216)
Unique sites:
1 Sr 0.000 0.000 0.000 (multiplicity 4)
2 Sc 0.000 0.000 0.500 (multiplicity 4)
3 Ag 0.250 0.250 0.750 (multiplicity 4)

Values from the calculation:
E ... -3.42 eV per atom
Total magnetization ... 1.67 μB per cell
Formation energy ... 0.201 eV/atom

=====

(12)
Density functional theory data (PBE) for crystalline LaFe2Sb at its relaxed geometry.

Cell lengths 4.713, 4.713, 17.665 Å; angles 90.00, 90.00, 90.00 degrees
Space group I4_1/amd (No. 141, origin choice 2)
Unique sites:
1 La 0.000 0.250 0.375 (multiplicity 4)
2 Fe 0.000 0.000 0.000 (multiplicity 8)
3 Sb 0.000 0.250 0.875 (multiplicity 4)

Values from the calculation:
ΔE_f (raw) ... 0.13 eV per atom
E ... -6.37 eV per atom
Total magnetization ... 14.85 μB per cell

=====

(13)
Density functional theory data (PBE) for crystalline TiFe2SI at its relaxed geometry.

Cell lengths 4.654, 4.654, 5.247 Å; angles 90.00, 90.00, 90.00 degrees
Space group P4/mmm (No. 123)
Unique sites:
1 Ti 0.000 0.000 0.000 (multiplicity 1)
2 Fe 0.000 0.500 0.500 (multiplicity 2)
3 S 0.500 0.500 0.000 (multiplicity 1)
4 I 0.000 0.000 0.500 (multiplicity 1)

Values from the calculation:
ΔE_f (raw) ... 1.25 eV per atom
E ... -4.85 eV per atom
Total magnetization ... 3.00 μB per cell